Material: CaLa2TlP
Method: DFT, PBE-GGA
State: optimized geometry

Unit cell a=5.6486 b=5.6486 c=5.3774 alpha=90.00 beta=90.00 gamma=90.00
With the nearest neighbours (Å) after each atom.
Sites, in units of the cell vectors:
Tl  0.5000  0.5000  0.5000  8 La 3.90, 4 Ca 3.99
Ca  0.0000  0.0000  0.5000  2 P 2.69
La  0.0000  0.5000  0.0000  2 P 2.82
P  0.0000  0.0000  0.0000  2 Ca 2.69, 4 La 2.82
La  0.5000  0.0000  0.0000  2 P 2.82

Calculated values
**DOS(E_F)**: 5.69 states/eV per cell
**SG**: No. 123
**Raw total energy**: -22.944 eV for the cell shown